Na3Tl2Bi2 PBE optimized geometry; magnetization = 0.00 μB per cell; polymorph energy (0 for the lowest one) = 0 meV per atom; calculated density = 6.5 g/cm3
1.0
5.095 -2.620 0.000
5.095 2.620 0.000
-3.747 0.000 8.622
Na Tl Bi
3 2 2
Direct
0.000 0.000 0.000 Na
0.113 0.113 0.391 Na
0.887 0.887 0.609 Na
0.381 0.381 0.156 Tl
0.619 0.619 0.844 Tl
0.271 0.271 0.770 Bi
0.729 0.729 0.230 Bi

---

Na3Tl6Bi PBE optimized geometry; magnetization = 0.00 μB per cell; polymorph energy (0 for the lowest one) = 158 meV per atom; calculated density = 6.2 g/cm3
1.0
9.830 5.675 1.196
-9.830 5.675 1.196
0.000 -11.351 1.196
Na Tl Bi
3 6 1
Direct
0.164 0.918 0.918 Na
0.918 0.164 0.918 Na
0.918 0.918 0.164 Na
0.257 0.257 0.747 Tl
0.257 0.747 0.257 Tl
0.377 0.662 0.662 Tl
0.662 0.377 0.662 Tl
0.662 0.662 0.377 Tl
0.747 0.257 0.257 Tl
0.509 0.509 0.509 Bi

---

Na8Tl6Bi PBE optimized geometry; magnetization = 0.00 μB per cell; E_tot = -0.0728 Ha/atom; calculated density = 5.5 g/cm3
1.0
4.623 2.669 6.623
-4.623 2.669 6.623
0.000 -5.338 6.623
Na Tl Bi
8 6 1
Direct
0.080 0.692 0.377 Na
0.171 0.171 0.171 Na
0.308 0.623 0.920 Na
0.377 0.080 0.692 Na
0.623 0.920 0.308 Na
0.692 0.377 0.080 Na
0.829 0.829 0.829 Na
0.920 0.308 0.623 Na
0.110 0.449 0.791 Tl
0.209 0.890 0.551 Tl
0.449 0.791 0.110 Tl
0.551 0.209 0.890 Tl
0.791 0.110 0.449 Tl
0.890 0.551 0.209 Tl
0.500 0.500 0.500 Bi

---

NaTl4Bi PBE optimized geometry; magnetization = 0.00 μB per cell; polymorph energy (0 for the lowest one) = 65 meV per atom; calculated density = 9.0 g/cm3
1.0
0.000 4.587 4.587
4.587 0.000 4.587
4.587 4.587 0.000
Na Tl Bi
1 4 1
Direct
0.000 0.000 0.000 Na
0.127 0.624 0.624 Tl
0.624 0.127 0.624 Tl
0.624 0.624 0.127 Tl
0.624 0.624 0.624 Tl
0.250 0.250 0.250 Bi

---

NaTl3Bi PBE optimized geometry; magnetization = 0.00 μB per cell; polymorph energy (0 for the lowest one) = 0 meV per atom; calculated density = 9.3 g/cm3
1.0
8.815 -2.518 0.000
8.815 2.518 0.000
-1.195 0.000 6.826
Na Tl Bi
2 6 2
Direct
0.100 0.100 0.056 Na
0.900 0.900 0.944 Na
0.098 0.098 0.552 Tl
0.299 0.299 0.145 Tl
0.299 0.299 0.645 Tl
0.701 0.701 0.355 Tl
0.701 0.701 0.855 Tl
0.902 0.902 0.448 Tl
0.496 0.496 0.235 Bi
0.504 0.504 0.765 Bi

---

Na3TlBi3 PBE optimized geometry; magnetization = 0.00 μB per cell; polymorph energy (0 for the lowest one) = 0 meV per atom; calculated density = 7.1 g/cm3
1.0
9.221 0.000 0.000
0.000 5.704 0.000
-4.586 0.000 8.002
Na Tl Bi
6 2 6
Direct
0.033 0.250 0.125 Na
0.124 0.750 0.591 Na
0.408 0.750 0.033 Na
0.592 0.250 0.967 Na
0.876 0.250 0.409 Na
0.967 0.750 0.875 Na
0.168 0.250 0.834 Tl
0.832 0.750 0.166 Tl
0.253 0.750 0.307 Bi
0.308 0.250 0.554 Bi
0.447 0.250 0.256 Bi
0.553 0.750 0.744 Bi
0.692 0.750 0.446 Bi
0.747 0.250 0.693 Bi

---

NaTl3Bi PBE optimized geometry; magnetization = 0.00 μB per cell; polymorph energy (0 for the lowest one) = 391 meV per atom; calculated density = 6.0 g/cm3
1.0
6.149 0.000 0.000
0.000 6.149 0.000
0.000 0.000 6.149
Na Tl Bi
1 3 1
Direct
0.000 0.000 0.000 Na
0.000 0.500 0.500 Tl
0.500 0.000 0.500 Tl
0.500 0.500 0.000 Tl
0.500 0.500 0.500 Bi

---

Na5Tl4Bi PBE optimized geometry; magnetization = 0.00 μB per cell; polymorph energy (0 for the lowest one) = 0 meV per atom; calculated density = 6.6 g/cm3
1.0
3.569 0.000 0.000
0.000 3.569 0.000
0.000 0.000 22.471
Na Tl Bi
5 4 1
Direct
0.000 0.000 0.000 Na
0.000 0.000 0.197 Na
0.000 0.000 0.400 Na
0.000 0.000 0.600 Na
0.000 0.000 0.803 Na
0.500 0.500 0.099 Tl
0.500 0.500 0.296 Tl
0.500 0.500 0.704 Tl
0.500 0.500 0.901 Tl
0.500 0.500 0.500 Bi

---

Na6Tl2Bi PBE optimized geometry; magnetization = 0.00 μB per cell; E_tot = -0.0728 Ha/atom; calculated density = 4.8 g/cm3
1.0
9.535 0.000 0.000
-4.767 8.257 0.000
0.000 0.000 3.301
Na Tl Bi
6 2 1
Direct
0.000 0.331 0.000 Na
0.000 0.669 0.000 Na
0.331 0.000 0.000 Na
0.331 0.331 0.000 Na
0.669 0.000 0.000 Na
0.669 0.669 0.000 Na
0.333 0.667 0.500 Tl
0.667 0.333 0.500 Tl
0.000 0.000 0.500 Bi

---

NaTl3Bi3 PBE optimized geometry; magnetization = 0.00 μB per cell; polymorph energy (0 for the lowest one) = 0 meV per atom; calculated density = 9.5 g/cm3
1.0
9.451 0.000 0.000
-4.726 8.185 0.000
0.000 0.000 5.699
Na Tl Bi
2 6 6
Direct
0.333 0.667 0.250 Na
0.667 0.333 0.750 Na
0.041 0.240 0.250 Tl
0.198 0.959 0.250 Tl
0.240 0.198 0.750 Tl
0.760 0.802 0.250 Tl
0.802 0.041 0.750 Tl
0.959 0.760 0.750 Tl
0.112 0.487 0.750 Bi
0.375 0.888 0.750 Bi
0.487 0.375 0.250 Bi
0.513 0.625 0.750 Bi
0.625 0.112 0.250 Bi
0.888 0.513 0.250 Bi

---

Na2TlBi2 PBE optimized geometry; magnetization = 0.00 μB per cell; polymorph energy (0 for the lowest one) = 16 meV per atom; calculated density = 7.1 g/cm3
1.0
9.698 0.000 0.000
0.000 9.698 0.000
0.000 0.000 3.309
Na Tl Bi
4 2 4
Direct
0.123 0.377 0.000 Na
0.377 0.877 0.000 Na
0.623 0.123 0.000 Na
0.877 0.623 0.000 Na
0.000 0.000 0.000 Tl
0.500 0.500 0.000 Tl
0.174 0.674 0.500 Bi
0.326 0.174 0.500 Bi
0.674 0.826 0.500 Bi
0.826 0.326 0.500 Bi